The following is a PBE-GGA calculation of a relaxed CdHF2 crystal, from the Alexandria database.

Values from the calculation:
crystal system	tetragonal
raw total energy	-0.221	Ry/atom
excess energy over the best structure of this formula in the dataset	0.576	eV/atom
volume	10.72	Å³/atom

The structure in POSCAR format:
```
CdHF2
1.0
4.911 0.000 0.000
0.000 4.911 0.000
2.456 2.456 3.554
F H Cd
4 2 2
Direct
0.375 0.548 0.750
0.452 0.125 0.250
0.298 0.625 0.250
0.875 0.702 0.750
0.250 0.750 0.500
0.500 0.500 0.000
0.750 0.250 0.500
0.000 0.000 0.000
```